Version P
PuTlInPb, optimized geometry, DFT GGA-PBE; space-group type = Pmmm (47)
1.0
4.666 0.000 0.000
0.000 4.740 0.000
0.000 0.000 4.888
Pu Tl In Pb
1 1 1 1
Direct
0.000 0.000 0.000
0.500 0.000 0.500
0.000 0.500 0.500
0.500 0.500 0.000

Version Q
PuTlInPb, optimized geometry, DFT GGA-PBE; space-group type = F-43m (216)
1.0
0.000 3.839 3.839
3.839 0.000 3.839
3.839 3.839 0.000
Pu Tl In Pb
1 1 1 1
Direct
0.000 0.000 0.000
0.750 0.750 0.750
0.500 0.500 0.500
0.250 0.250 0.250

version P ends up most stable, edging out the next structure by 0.155 eV/atom.